(1)
Material: HgPW2
Method: DFT, PBEsol
State: relaxed

Output
energy of formation	1.301	eV per formula unit
E above lowest polymorph	0.0000	eV/atom

a b c (Å): 2.9297 2.9297 8.6630
angles (deg): 80.27 80.27 60.00
Closest atoms and distances in Å follow each position.
Atoms (fractional coordinates):
W 0.2610 0.2610 0.2171  3 P 2.50
Hg 0.5000 0.5000 0.5000  6 Hg 2.93, 6 W 2.94
W 0.7390 0.7390 0.7829  3 P 2.50
P 0.0000 0.0000 0.0000  6 W 2.50

(2)
Material: Ba2HgSe
Method: DFT, PBEsol
State: relaxed

Output
E above lowest polymorph	0.0752	eV/atom

a b c (Å): 4.1684 4.3333 8.8674
angles (deg): 104.14 103.59 90.00
Closest atoms and distances in Å follow each position.
Atoms (fractional coordinates):
Ba 0.9452 0.9452 0.8905  2 Se 3.30, 4 Hg 3.45
Ba 0.7164 0.2164 0.4327  4 Se 3.26, 2 Hg 3.57
Se 0.2919 0.7919 0.5839  6 Ba 3.26-3.30
Hg 0.5465 0.5465 0.0929  6 Ba 3.45-3.57

(3)
Material: AlSiAs2
Method: DFT, PBEsol
State: relaxed

Output
E above lowest polymorph	0.0032	eV/atom

a b c (Å): 4.5727 4.5727 4.5727
angles (deg): 60.00 60.00 60.00
Closest atoms and distances in Å follow each position.
Atoms (fractional coordinates):
As 0.7500 0.7500 0.7500  4 Si 2.80, 4 Al 2.80
Al 0.0000 0.0000 0.0000  8 As 2.80
As 0.2500 0.2500 0.2500  4 Al 2.80, 4 Si 2.80
Si 0.5000 0.5000 0.5000  8 As 2.80

(4)
Material: ZrW
Method: DFT, PBEsol
State: relaxed

Output
energy of formation	0.266	eV per formula unit

a b c (Å): 4.6614 4.6614 4.6614
angles (deg): 60.00 60.00 60.00
Closest atoms and distances in Å follow each position.
Atoms (fractional coordinates):
Zr 0.2500 0.2500 0.2500  4 W 2.85, 4 Zr 2.85
Zr 0.0000 0.0000 0.0000  4 Zr 2.85, 4 W 2.85
W 0.5000 0.5000 0.5000  4 W 2.85, 4 Zr 2.85
W 0.7500 0.7500 0.7500  4 Zr 2.85, 4 W 2.85

(5)
Material: AuBr5
Method: DFT, PBEsol
State: relaxed

Output
E above lowest polymorph	0.2353	eV/atom

a b c (Å): 2.7739 2.7739 21.2649
angles (deg): 90.00 90.00 90.00
Closest atoms and distances in Å follow each position.
Atoms (fractional coordinates):
Br 0.0000 0.0000 0.1582  4 Br 2.77
Br 0.5000 0.5000 0.3293  4 Br 2.77
Au 0.5000 0.5000 0.0000  4 Au 2.77
Br 0.5000 0.5000 0.6707  4 Br 2.77
Br 0.0000 0.0000 0.5000  4 Br 2.77
Br 0.0000 0.0000 0.8418  4 Br 2.77

(6)
Material: HgSN2F
Method: DFT, PBEsol
State: relaxed

Output
E	-2.79	eV per atom

a b c (Å): 3.7154 3.7154 6.2724
angles (deg): 90.00 90.00 90.00
Closest atoms and distances in Å follow each position.
Atoms (fractional coordinates):
F 0.0000 0.0000 0.0000  4 N 1.86
N 0.5000 0.0000 0.0000  2 F 1.86
Hg 0.5000 0.5000 0.5000  4 S 2.63
S 0.0000 0.0000 0.5000  4 Hg 2.63
N 0.0000 0.5000 0.0000  2 F 1.86